Entry 1:
Computed, not measured: an optimized crystal structure of Cu2NiH2 at the PBE-GGA level of DFT.

Summary:
The value obtained for the magnetic moment is 0.0 μB/f.u. Its volume is 8.7 A^3/atom. For the offset from the most stable computed form, the calculation gives 65 meV per atom. As for the space-group type: P4/mbm.

abc: 4.922 4.922 3.597
angles: 90.00 90.00 90.00
Atoms (fractional coordinates):
Ni  0.000  0.000  0.000
Ni  0.500  0.500  0.000
Cu  0.199  0.699  0.500
Cu  0.699  0.801  0.500
Cu  0.801  0.301  0.500
Cu  0.301  0.199  0.500
H  0.225  0.725  0.000
H  0.725  0.775  0.000
H  0.775  0.275  0.000
H  0.275  0.225  0.000

Entry 2:
Computed, not measured: an optimized crystal structure of CuNiH4 at the PBE-GGA level of DFT.

Summary:
For the uncorrected energy, the calculation gives -0.138 hartree per atom. The value obtained for the magnetic moment is 0.0 μB/f.u. Its volume is 7.9 A^3/atom. As for the space-group type: C2/c.

abc: 4.524 4.497 5.672
angles: 103.54 103.74 114.01
Atoms (fractional coordinates):
Cu  0.421  0.671  0.342
Cu  0.579  0.329  0.658
Ni  0.059  0.809  0.618
Ni  0.941  0.191  0.382
H  0.042  0.297  0.154
H  0.613  0.857  0.154
H  0.270  0.571  0.601
H  0.730  0.429  0.399
H  0.169  0.970  0.399
H  0.387  0.143  0.846
H  0.831  0.030  0.601
H  0.958  0.703  0.846

Entry 3:
Computed, not measured: an optimized crystal structure of CuNi8H4 at the PBE-GGA level of DFT.

Summary:
For the uncorrected energy, the calculation gives -0.181 hartree per atom. The value obtained for the magnetic moment is 1.1 μB/f.u. Its volume is 8.2 A^3/atom. As for the space-group type: C2/m.

abc: 6.467 6.467 8.627
angles: 51.04 51.04 22.67
Site moments in Bohr magnetons follow the coordinates.
Atoms (fractional coordinates):
Cu  0.484  0.484  0.033  -0.01
Ni  0.856  0.856  0.624  0.21
Ni  0.447  0.447  0.776  0.15
Ni  0.521  0.521  0.290  0.15
Ni  0.113  0.113  0.442  0.21
Ni  0.149  0.149  0.705  0.10
Ni  0.781  0.781  0.111  0.15
Ni  0.820  0.820  0.361  0.10
Ni  0.187  0.187  0.955  0.15
H  0.631  0.631  0.572  0.00
H  0.150  0.150  0.201  0.00
H  0.819  0.819  0.865  0.00
H  0.338  0.338  0.494  0.00

Entry 4:
Computed, not measured: an optimized crystal structure of Cu2Ni2H5 at the PBE-GGA level of DFT.

Summary:
The value obtained for the magnetic moment is 0.0 μB/f.u. Its volume is 6.8 A^3/atom. For the offset from the most stable computed form, the calculation gives 86 meV per atom. As for the space-group type: Cmce.

abc: 5.043 5.556 5.189
angles: 122.37 90.00 90.00
Atoms (fractional coordinates):
Cu  0.000  0.223  0.445
Cu  0.500  0.723  0.445
Cu  0.000  0.777  0.555
Cu  0.500  0.277  0.555
Ni  0.663  0.779  0.000
Ni  0.337  0.221  0.000
Ni  0.163  0.721  0.000
Ni  0.837  0.279  0.000
H  0.000  0.000  0.000
H  0.500  0.500  0.000
H  0.903  0.821  0.248
H  0.097  0.427  0.248
H  0.403  0.927  0.248
H  0.597  0.321  0.248
H  0.097  0.179  0.752
H  0.903  0.573  0.752
H  0.597  0.073  0.752
H  0.403  0.679  0.752

Entry 5:
Computed, not measured: an optimized crystal structure of CuNi3H3 at the PBE-GGA level of DFT.

Summary:
The value obtained for the magnetic moment is 0.0 μB/f.u. Its volume is 7.8 A^3/atom. For the offset from the most stable computed form, the calculation gives 0 meV per atom. As for the space-group type: R-3.

abc: 6.864 6.864 6.864
angles: 37.93 37.93 37.93
Atoms (fractional coordinates):
Cu  0.333  0.333  0.333
Cu  0.667  0.667  0.667
Ni  0.777  0.448  0.112
Ni  0.112  0.777  0.448
Ni  0.448  0.112  0.777
Ni  0.552  0.888  0.223
Ni  0.888  0.223  0.552
Ni  0.223  0.552  0.888
H  0.607  0.256  0.931
H  0.256  0.931  0.607
H  0.931  0.607  0.256
H  0.069  0.393  0.744
H  0.744  0.069  0.393
H  0.393  0.744  0.069

Entry 6:
Computed, not measured: an optimized crystal structure of Cu2Ni2H5 at the PBE-GGA level of DFT.

Summary:
The value obtained for the magnetic moment is 0.0 μB/f.u. Its volume is 7.1 A^3/atom. For the offset from the most stable computed form, the calculation gives 0 meV per atom. As for the space-group type: C2/m.

abc: 2.591 4.318 6.070
angles: 105.24 102.32 90.00
Atoms (fractional coordinates):
Cu  0.855  0.140  0.710
Cu  0.145  0.860  0.290
Ni  0.567  0.296  0.134
Ni  0.433  0.704  0.866
H  0.685  0.142  0.371
H  0.315  0.858  0.629
H  0.856  0.527  0.713
H  0.144  0.473  0.287
H  0.000  0.000  0.000

> What is the formula in the second record?

CuNiH4

> Number 6 is which compound?

Cu2Ni2H5